[1]
10
Lattice="-4.333 1.128 -6.018 5.265 -3.076 -4.368 -1.037 -2.238 0.327" Properties=species:S:1:pos:R:3 comment="KMn2Fe2 | Alexandria via LeMat-Bulk | PBE-GGA | relaxed" relative_energy_mev_per_atom=0 sg="P4/mbm, No. 127" mass_density_g_cm3=6.184 magmom_total_mub_per_fu=0.00 formation_energy_ev_per_fu=4.21 final_energy_ev_per_fu=-32.15 dos_at_fermi_per_ev_cell=15.3 pbc="T T T"
K 0.000 0.000 0.000
K 0.466 -0.974 -5.193
Mn 2.994 -2.294 -6.213
Mn -0.625 -0.881 -8.017
Mn -2.062 0.346 -4.173
Mn 1.557 -1.067 -2.369
Fe 2.260 -2.962 -3.643
Fe 1.081 -2.974 -7.471
Fe -2.364 -1.225 -6.416
Fe -1.185 -1.212 -2.588

=====

[2]
10
Lattice="-0.487 -0.151 -6.850 -6.521 -2.095 0.510 -1.253 3.899 0.003" Properties=species:S:1:pos:R:3 comment="Zr2ZnMo2 | Alexandria via LeMat-Bulk | PBE-GGA | relaxed" relative_energy_mev_per_atom=0 sg="P4/mbm, No. 127" mass_density_g_cm3=7.558 magmom_total_mub_per_fu=0.00 formation_energy_ev_per_fu=0.71 final_energy_ev_per_fu=-39.32 dos_at_fermi_per_ev_cell=12.1 pbc="T T T"
Mo -5.892 -1.891 -2.126
Mo -4.499 -1.441 -5.678
Mo -1.116 -0.355 -4.215
Mo -2.509 -0.805 -0.662
Zn 0.000 0.000 0.000
Zn -3.504 -1.123 -3.170
Zr -5.128 0.504 -0.866
Zr -6.323 0.123 -4.217
Zr -3.133 1.149 -5.471
Zr -1.938 1.530 -2.120

=====

[3]
4
Lattice="9.730 -0.103 -0.060 9.313 2.819 -0.060 9.313 1.328 2.487" Properties=species:S:1:pos:R:3 comment="Zr2OsRu | Alexandria via LeMat-Bulk | PBE-GGA | relaxed" sg="R3m, No. 160" mass_density_g_cm3=10.883 magmom_total_mub_per_fu=0.00 formation_energy_ev_per_fu=1.02 final_energy_ev_per_fu=-36.58 dos_at_fermi_per_ev_cell=5.0 pbc="T T T"
Os 13.976 1.993 1.166
Ru 21.458 3.060 1.791
Zr 0.168 0.024 0.014
Zr 6.933 0.989 0.579

=====

[4]
28
Lattice="4.523 0.000 0.000 0.000 7.883 0.000 0.000 0.000 10.134" Properties=species:S:1:pos:R:3 comment="UMn6 | Alexandria via LeMat-Bulk | PBE-GGA | relaxed" relative_energy_mev_per_atom=0 sg="Pnma, No. 62" mass_density_g_cm3=10.436 magmom_total_mub_per_fu=0.79 formation_energy_ev_per_fu=0.37 final_energy_ev_per_fu=-65.94 dos_at_fermi_per_ev_cell=38.2 pbc="T T T"
U 3.392 2.046 9.551
U 1.131 5.837 0.583
U 3.392 5.987 5.650
U 1.131 1.896 4.484
Mn 3.392 4.981 0.294
Mn 1.131 2.903 9.839
Mn 3.392 1.039 4.772
Mn 1.131 6.844 5.361
Mn 0.039 3.421 1.934
Mn 2.301 4.463 8.200
Mn 2.222 7.362 3.133
Mn 4.483 0.521 7.000
Mn 4.483 4.463 8.200
Mn 2.222 3.421 1.934
Mn 2.301 0.521 7.000
Mn 0.039 7.362 3.133
Mn 1.131 1.070 1.518
Mn 3.392 6.814 8.615
Mn 1.131 5.011 3.549
Mn 3.392 2.872 6.585
Mn 1.131 6.344 7.681
Mn 3.392 1.539 2.452
Mn 1.131 2.403 7.519
Mn 3.392 5.481 2.614
Mn 1.131 4.320 5.863
Mn 3.392 3.563 4.271
Mn 1.131 0.379 9.337
Mn 3.392 7.504 0.796